[1]
This record from Alexandria via LeMat-Bulk describes LiEuTlBi after structural relaxation. The functional is PBE.

Values from the calculation:
The calculation puts the calculated total energy at -20.23 eV/cell. As for the symmetry: F-43m. The formation energy comes out at -0.449 eV/atom.

Lattice parameters (Å, degrees): 5.447 5.447 5.447 60.00 60.00 60.00
Fractional positions:
1 Tl 0.250 0.250 0.250
2 Li 0.000 0.000 0.000
3 Eu 0.500 0.500 0.500
4 Bi 0.750 0.750 0.750


[2]
This record from Alexandria via LeMat-Bulk describes La2Pm5DyTh after structural relaxation. The functional is PBE.

Values from the calculation:
The calculation puts the calculated total energy at -88.68 eV/cell. As for the symmetry: Cmc2_1. The formation energy comes out at 0.144 eV/atom.

Lattice parameters (Å, degrees): 5.744 10.680 10.691 90.00 90.00 105.60
Fractional positions:
1 Dy 0.594 0.187 0.959
2 Dy 0.406 0.813 0.459
3 Pm 0.984 0.968 0.520
4 Pm 0.481 0.963 0.743
5 Pm 0.387 0.775 0.024
6 Pm 0.519 0.037 0.243
7 Pm 0.613 0.225 0.524
8 Pm 0.705 0.411 0.204
9 Pm 0.016 0.032 0.020
10 Pm 0.724 0.449 0.814
11 Pm 0.295 0.589 0.704
12 Pm 0.276 0.551 0.314
13 La 0.117 0.233 0.317
14 La 0.116 0.231 0.732
15 La 0.883 0.767 0.817
16 La 0.884 0.769 0.232
17 Th 0.200 0.399 0.011
18 Th 0.800 0.601 0.511


[3]
This record from Alexandria via LeMat-Bulk describes Sb2PbSe after structural relaxation. The functional is PBE.

Values from the calculation:
The calculation puts the calculated total energy at -16.01 eV/cell. As for the symmetry: C2/m. Its formation energy (no corrections) is -0.142 eV/atom. The value obtained for the polymorph energy (0 for the lowest one) is 76 meV/atom.

Lattice parameters (Å, degrees): 7.114 7.114 4.469 112.60 112.60 35.73
Fractional positions:
1 Pb 0.250 0.250 0.250
2 Sb 0.509 0.509 0.541
3 Sb 0.991 0.991 0.959
4 Se 0.750 0.750 0.750